Entry i
Computed, not measured: a relaxed structure of AlSiAu2 at the PBE level of DFT.

a = 5.0432 Å, b = 5.0432 Å, c = 4.4065 Å
α = 87.43°, β = 87.43°, γ = 37.85°
Last column: nearest neighbours and their distance in Å.
Element x y z (fractional)
Si: 0.4973 0.4973 0.4825  5 Au 2.51-2.79, 1 Al 2.72
Au: 0.0037 0.0037 0.9677  3 Al 2.67-2.90, 4 Si 2.70-2.79, 1 Au 2.83
Au: 0.2563 0.2563 0.2779  1 Si 2.51, 4 Al 2.72-2.77
Al: 0.7427 0.7427 0.7719  7 Au 2.67-2.90, 1 Si 2.72

Summary:
magnetic moment	0.000	μB per atom

Entry ii
Computed, not measured: a relaxed structure of AlSiAu2 at the PBE level of DFT.

a = 4.6299 Å, b = 4.6299 Å, c = 4.6299 Å
α = 60.00°, β = 60.00°, γ = 60.00°
Last column: nearest neighbours and their distance in Å.
Element x y z (fractional)
Si: 0.7500 0.7500 0.7500  4 Al 2.84, 4 Au 2.84
Au: 0.0000 0.0000 0.0000  4 Si 2.84, 4 Au 2.84
Au: 0.2500 0.2500 0.2500  4 Au 2.84, 4 Al 2.84
Al: 0.5000 0.5000 0.5000  4 Au 2.84, 4 Si 2.84

Summary:
magnetic moment	0.000	μB per atom

Q: Which of them is the most stable? A: entry i.